[1]
First-principles (PBE) data for an optimized crystal structure of Be2ReP, as listed in the Alexandria database.

a b c (Å): 3.245 3.206 4.112
angles (deg): 90.00 90.00 90.00
Sites, in units of the cell vectors:
Be  0.500  0.125  0.344
Be  0.000  0.125  0.994
Re  0.500  0.625  0.806
P  0.000  0.625  0.357

Density of states at the Fermi level   1.05 states/eV per cell
VASP energy   -25.47 eV/cell
Crystal system   orthorhombic

=====

[2]
First-principles (PBE) data for an optimized crystal structure of MoPRu, as listed in the Alexandria database.

a b c (Å): 5.535 2.973 10.463
angles (deg): 90.00 103.00 90.00
Sites, in units of the cell vectors:
Ru  0.789  0.500  0.338
Mo  0.417  0.500  0.684
P  0.190  0.000  0.796
Mo  0.486  0.000  0.461
P  0.067  0.000  0.500
Ru  0.789  0.000  0.838
Mo  0.417  0.000  0.184
P  0.067  0.500  0.000
Ru  0.868  0.500  0.612
P  0.190  0.500  0.296
Ru  0.868  0.000  0.112
Mo  0.486  0.500  0.961

Density of states at the Fermi level   7.45 states/eV per cell
VASP energy   -106.21 eV/cell
Crystal system   monoclinic

=====

[3]
First-principles (PBE) data for an optimized crystal structure of AsPtW2, as listed in the Alexandria database.

a b c (Å): 4.521 4.521 4.521
angles (deg): 60.00 60.00 60.00
Sites, in units of the cell vectors:
W  0.250  0.250  0.250
Pt  0.750  0.750  0.750
W  0.000  0.000  0.000
As  0.500  0.500  0.500

Density of states at the Fermi level   3.59 states/eV per cell
VASP energy   -34.55 eV/cell
Crystal system   cubic

=====

[4]
First-principles (PBE) data for an optimized crystal structure of GeBiPd3, as listed in the Alexandria database.

a b c (Å): 5.044 5.044 5.044
angles (deg): 90.00 90.00 90.00
Sites, in units of the cell vectors:
Bi  0.000  0.000  0.000
Pd  0.000  0.500  0.000
Pd  0.000  0.000  0.500
Ge  0.500  0.500  0.500
Pd  0.500  0.000  0.000

Density of states at the Fermi level   1.98 states/eV per cell
VASP energy   -20.74 eV/cell
Crystal system   cubic

=====

| no. | ΔE_f (eV per atom) | V (Å³ per atom) |
| --- | --- | --- |
| 1 | -0.040 | 10.697 |
| 2 | -0.345 | 13.979 |
| 3 | 0.513 | 16.341 |
| 4 | 0.667 | 25.667 |